Below is crystalline K3TbCl6 at its relaxed geometry, with properties calculated at the PBE level.

Cell: 7.5414 7.9837 13.0573 Å, 90.00 124.17 90.00°
Last column: nearest neighbours and their distance in Å.
Positions (direct):
K 0.0000 0.0000 0.0000  6 Cl 3.08-3.18
K 0.0000 0.5000 0.5000  6 Cl 3.08-3.18
K 0.2143 0.0717 0.7423  6 Cl 3.17-3.49
K 0.2143 0.4283 0.2423  6 Cl 3.17-3.49
K 0.7857 0.5717 0.7577  6 Cl 3.17-3.49
K 0.7857 0.9283 0.2577  6 Cl 3.17-3.49
Tb 0.5000 0.0000 0.5000  6 Cl 2.66-2.68
Tb 0.5000 0.5000 0.0000  6 Cl 2.66-2.68
Cl 0.1596 0.1807 0.4428  1 Tb 2.66
Cl 0.1596 0.3193 0.9428  1 Tb 2.66
Cl 0.2536 0.7250 0.4225  1 Tb 2.68
Cl 0.2536 0.7750 0.9225  1 Tb 2.68
Cl 0.4026 0.0573 0.2725  1 Tb 2.67
Cl 0.4026 0.4427 0.7725  1 Tb 2.67
Cl 0.5974 0.5573 0.2275  1 Tb 2.67
Cl 0.5974 0.9427 0.7275  1 Tb 2.67
Cl 0.7464 0.2250 0.0775  1 Tb 2.68
Cl 0.7464 0.2750 0.5775  1 Tb 2.68
Cl 0.8404 0.6807 0.0572  1 Tb 2.66
Cl 0.8404 0.8193 0.5572  1 Tb 2.66

Values from the calculation:
- Mass density: 2.497 g/cm3
- Raw formation energy: -2.14 eV/atom
- Symmetry: P2_1/c
- Volume: 650 Å³/cell
- M_tot: 0.000 μB/atom